# 1
Here is an optimized crystal structure of BeTcTe2 from Alexandria via LeMat-Bulk. Energies are from GGA-PBE.

```
BeTcTe2
1.0
-1.630 1.706 8.133
1.630 -1.706 8.133
1.630 1.706 -8.133
Be Tc Te
1 1 2
Direct
0.000 0.000 0.000 Be
0.500 0.500 0.000 Tc
0.366 0.866 0.500 Te
0.634 0.134 0.500 Te
```

## Properties
The total energy is -5.04 eV/atom. The value obtained for the calculated density is 6.65 Mg/m³. The space group is No. 71.

***

# 2
Here is an optimized crystal structure of La2HoSn from Alexandria via LeMat-Bulk. Energies are from GGA-PBE.

```
La2HoSn
1.0
4.675 0.000 0.000
0.000 4.596 0.000
-2.311 0.000 11.832
La Ho Sn
4 2 2
Direct
0.037 0.250 0.128 La
0.417 0.250 0.856 La
0.583 0.750 0.144 La
0.963 0.750 0.872 La
0.305 0.750 0.605 Ho
0.695 0.250 0.395 Ho
0.174 0.750 0.344 Sn
0.826 0.250 0.656 Sn
```

## Properties
The formation enthalpy at 0 K is -355 meV/atom. The value obtained for the calculated density is 7.33 Mg/m³. The space group is No. 11. As for the energy above the most stable polymorph in this dataset: 94 meV/atom.

***

# 3
Here is an optimized crystal structure of Li2YNpTe4 from Alexandria via LeMat-Bulk. Energies are from GGA-PBE.

```
Li2YNpTe4
1.0
7.486 0.000 0.000
0.000 4.368 0.000
-2.580 0.000 7.136
Li Y Np Te
2 1 1 4
Direct
0.000 0.000 0.000 Li
0.000 0.500 0.500 Li
0.500 0.000 0.500 Y
0.500 0.500 0.000 Np
0.243 0.000 0.744 Te
0.243 0.500 0.251 Te
0.757 0.000 0.256 Te
0.757 0.500 0.749 Te
```

## Properties
The total energy is -5.51 eV/atom. The value obtained for the calculated density is 6.05 Mg/m³. The space group is No. 10.